A geometry-optimized Ac2Dy2Te2Se3 structure, computed with PBE.

Total magnetic moment = 0.0 Bohr magnetons per cell
Symmetry = No. 139
Formation energy from raw total energies = -1.51 eV per atom
V = 291 Å³/cell
Fermi-level density of states = 4.9 states/eV per cell
E = -47.787 eV/f.u.

Cell lengths 5.3599, 5.3599, 10.8130 Å; angles 104.35, 104.35, 90.00 degrees
With the nearest neighbours (Å) after each atom.
Atoms (fractional coordinates):
Ac 0.1766 0.1766 0.3533  4 Se 3.06
Ac 0.8234 0.8234 0.6467  4 Se 3.06
Se 0.2500 0.7500 0.5000  4 Ac 3.06
Se 0.0000 0.0000 0.0000  4 Dy 2.68
Se 0.7500 0.2500 0.5000  4 Ac 3.06
Te 0.4043 0.4043 0.8087  4 Dy 3.31
Te 0.5957 0.5957 0.1913  4 Dy 3.31
Dy 0.0000 0.5000 0.0000  2 Se 2.68
Dy 0.5000 0.0000 0.0000  2 Se 2.68